First-principles (PBE) data for a relaxed Na5Br2O2 crystal, as listed in the Alexandria database.

ΔE_f (raw) = -1.21 eV/atom
Magnetization = 1.0 μB per formula unit
Symmetry = C2/m, No. 12
Calculated volume = 21.03 Å³ per atom

Cell lengths 4.716, 6.932, 7.383 Å; angles 121.26, 90.00, 109.89 degrees
Site moments in Bohr magnetons follow the coordinates.
Fractional positions:
Na: 0.342 0.684 0.083  0.00
Na: 0.658 0.316 0.917  0.00
Na: 0.115 0.230 0.516  0.00
Na: 0.885 0.770 0.484  0.00
Na: 0.000 0.000 0.000  0.00
Br: 0.379 0.757 0.701  0.01
Br: 0.621 0.243 0.299  0.01
O: 0.120 0.239 0.831  0.38
O: 0.880 0.761 0.169  0.38

---

First-principles (PBE) data for a relaxed ZrCuPd crystal, as listed in the Alexandria database.

Calculated formation energy = -391 meV per atom
Magnetization = 0.0 μB per formula unit
Offset from the most stable computed form = 98 meV per atom
Symmetry = P-6m2, No. 187
Calculated volume = 16.71 Å³ per atom

Cell lengths 2.927, 4.447, 4.447 Å; angles 120.00, 90.00, 90.00 degrees
Fractional positions:
Cu: 0.166 0.667 0.333
Zr: 0.667 0.333 0.667
Pd: 0.167 0.000 0.000

---

First-principles (PBE) data for a relaxed K3BeHg crystal, as listed in the Alexandria database.

Calculated formation energy = 480 meV per atom
Magnetization = 0.0 μB per formula unit
Offset from the most stable computed form = 0 meV per atom
Symmetry = Pm-3m, No. 221
Calculated volume = 52.10 Å³ per atom

Cell lengths 6.386, 6.386, 6.386 Å; angles 90.00, 90.00, 90.00 degrees
Fractional positions:
Be: 0.000 0.000 0.000
K: 0.000 0.500 0.000
K: 0.000 0.000 0.500
K: 0.500 0.000 0.000
Hg: 0.500 0.500 0.500

---

First-principles (PBE) data for a relaxed ZnGaCu6 crystal, as listed in the Alexandria database.

Calculated formation energy = 73 meV per atom
Magnetization = 0.0 μB per formula unit
Offset from the most stable computed form = 157 meV per atom
Symmetry = C2/m, No. 12
Calculated volume = 14.09 Å³ per atom

Cell lengths 4.358, 4.358, 6.666 Å; angles 76.18, 76.18, 68.39 degrees
Fractional positions:
Zn: 0.500 0.500 0.500
Ga: 0.000 0.000 0.000
Cu: 0.058 0.546 0.303
Cu: 0.546 0.058 0.303
Cu: 0.454 0.942 0.697
Cu: 0.942 0.454 0.697
Cu: 0.364 0.364 0.927
Cu: 0.636 0.636 0.073

---

First-principles (PBE) data for a relaxed NaSc2Au crystal, as listed in the Alexandria database.

Calculated formation energy = 37 meV per atom
Magnetization = 1.5 μB per formula unit
Symmetry = I-42d, No. 122
Calculated volume = 25.19 Å³ per atom

Cell lengths 8.092, 8.092, 6.497 Å; angles 51.49, 51.49, 90.00 degrees
Site moments in Bohr magnetons follow the coordinates.
Fractional positions:
Sc: 0.676 0.125 0.250  0.42
Sc: 0.074 0.625 0.250  0.42
Sc: 0.375 0.324 0.750  0.43
Sc: 0.875 0.926 0.750  0.43
Na: 0.500 0.500 0.000  0.01
Na: 0.250 0.750 0.500  0.01
Au: 0.000 0.000 0.000  0.04
Au: 0.750 0.250 0.500  0.04

---

First-principles (PBE) data for a relaxed MgMnHgRh2 crystal, as listed in the Alexandria database.

Calculated formation energy = 1732 meV per atom
Magnetization = 0.3 μB per formula unit
Offset from the most stable computed form = 589 meV per atom
Symmetry = P4/mmm, No. 123
Calculated volume = 23.34 Å³ per atom

Cell lengths 4.961, 4.742, 4.961 Å; angles 90.00, 90.00, 90.00 degrees
Site moments in Bohr magnetons follow the coordinates.
Fractional positions:
Mg: 0.000 0.500 0.000  0.00
Mn: 0.500 0.500 0.500  0.45
Rh: 0.000 0.000 0.500  -0.12
Rh: 0.500 0.000 0.000  -0.13
Hg: 0.000 0.000 0.000  0.01

---

The highest calculated volume belongs to which entry?
K3BeHg

---

Look up the calculated volume of the fifth one.
25.19 Å³ per atom